Computed, not measured: Tl5Co3 after structural relaxation at the PBE level of DFT.

The structure in POSCAR format:
```
Tl5Co3
1.0
7.688 0.000 0.000
-3.844 6.658 0.000
0.000 0.000 6.216
Tl Co
10 6
direct
0.000 0.242 0.250
0.000 0.758 0.750
0.242 0.000 0.250
0.242 0.242 0.750
0.333 0.667 0.000
0.333 0.667 0.500
0.667 0.333 0.000
0.667 0.333 0.500
0.758 0.000 0.750
0.758 0.758 0.250
0.000 0.402 0.750
0.000 0.598 0.250
0.402 0.000 0.750
0.402 0.402 0.250
0.598 0.000 0.250
0.598 0.598 0.750
```

## Properties
Total DFT energy (no corrections) = -3.5899 eV/atom
ΔE to the lowest computed polymorph = 132 kJ/mol of formula units
Calculated formation energy = 554 meV/atom